1.
# GGA-PBEsol CoIr2Ru, relaxed
data_CoIr2Ru
_space_group_name_H-M_alt 'P m m 2'
_space_group_IT_number 25
_cell_length_a 2.660
_cell_length_b 3.706
_cell_length_c 5.270
_cell_angle_alpha 90.00
_cell_angle_beta 90.00
_cell_angle_gamma 90.00
loop_
_space_group_symop_operation_xyz
'x,y,z'
'-x,-y,z'
'-x,y,z'
'x,-y,z'
loop_
_atom_site_label
_atom_site_type_symbol
_atom_site_fract_x
_atom_site_fract_y
_atom_site_fract_z
Co1 Co 0.000 0.000 0.000
Ir1 Ir 0.000 0.000 0.507
Ir2 Ir 0.500 0.500 0.238
Ru1 Ru 0.500 0.500 0.758
# **DFT formation energy**: 14 kJ/mol of formula units
# **Magnetic moment**: 1.03 μB/f.u.
# **D(E_F)**: 4.43 states/eV/cell

---

2.
# GGA-PBEsol CoIr2Ru, relaxed
data_CoIr2Ru
_space_group_name_H-M_alt 'P 4 m m'
_space_group_IT_number 99
_cell_length_a 2.668
_cell_length_b 2.668
_cell_length_c 7.301
_cell_angle_alpha 90.00
_cell_angle_beta 90.00
_cell_angle_gamma 90.00
loop_
_space_group_symop_operation_xyz
'x,y,z'
'-y,x,z'
'-x,-y,z'
'y,-x,z'
'-x,y,z'
'y,x,z'
'x,-y,z'
'-y,-x,z'
loop_
_atom_site_label
_atom_site_type_symbol
_atom_site_fract_x
_atom_site_fract_y
_atom_site_fract_z
Co1 Co 0.000 0.000 0.000
Ir1 Ir 0.000 0.000 0.506
Ir2 Ir 0.500 0.500 0.238
Ru1 Ru 0.500 0.500 0.764
# **DFT formation energy**: 22 kJ/mol of formula units
# **Magnetic moment**: 1.32 μB/f.u.
# **D(E_F)**: 4.66 states/eV/cell

---

3.
# GGA-PBEsol CoIr2Ru, relaxed
data_CoIr2Ru
_space_group_name_H-M_alt 'C 1 m 1'
_space_group_IT_number 8
_cell_length_a 8.739
_cell_length_b 2.658
_cell_length_c 4.548
_cell_angle_alpha 90.00
_cell_angle_beta 100.35
_cell_angle_gamma 90.00
loop_
_space_group_symop_operation_xyz
'x,y,z'
'x,-y,z'
'x+1/2,y+1/2,z'
'x+1/2,-y+1/2,z'
loop_
_atom_site_label
_atom_site_type_symbol
_atom_site_fract_x
_atom_site_fract_y
_atom_site_fract_z
Co1 Co 0.000 0.000 0.000
Ir1 Ir 0.000 0.500 0.494
Ir2 Ir 0.252 0.000 0.760
Ru1 Ru 0.248 0.500 0.248
# **DFT formation energy**: 14 kJ/mol of formula units
# **Magnetic moment**: 1.05 μB/f.u.
# **D(E_F)**: 9.73 states/eV/cell

---

4.
# GGA-PBEsol CoIr2Ru, relaxed
data_CoIr2Ru
_space_group_name_H-M_alt 'R -3 m'
_space_group_IT_number 166
_space_group_name_Hall '-R 3 2"'
_cell_length_a 2.6653
_cell_length_b 2.6653
_cell_length_c 25.5089
_cell_angle_alpha 90.00
_cell_angle_beta 90.00
_cell_angle_gamma 120.00
loop_
_atom_site_label
_atom_site_type_symbol
_atom_site_fract_x
_atom_site_fract_y
_atom_site_fract_z
Co1 Co 0.0000 0.0000 0.0000
Ir1 Ir 0.0000 0.0000 0.2524
Ru1 Ru 0.0000 0.0000 0.5000
# **DFT formation energy**: 9 kJ/mol of formula units
# **Magnetic moment**: 1.55 μB/f.u.
# **D(E_F)**: 13.65 states/eV/cell

---

5.
# GGA-PBEsol CoIr2Ru, relaxed
data_CoIr2Ru
_space_group_name_H-M_alt 'C 1 2/m 1'
_space_group_IT_number 12
_cell_length_a 8.733
_cell_length_b 2.657
_cell_length_c 4.565
_cell_angle_alpha 90.00
_cell_angle_beta 100.32
_cell_angle_gamma 90.00
loop_
_space_group_symop_operation_xyz
'x,y,z'
'-x,-y,-z'
'-x,y,-z'
'x,-y,z'
'x+1/2,y+1/2,z'
'-x+1/2,-y+1/2,-z'
'-x+1/2,y+1/2,-z'
'x+1/2,-y+1/2,z'
loop_
_atom_site_label
_atom_site_type_symbol
_atom_site_fract_x
_atom_site_fract_y
_atom_site_fract_z
Co1 Co 0.000 0.000 0.000
Ir1 Ir 0.248 0.500 0.246
Ru1 Ru 0.000 0.500 0.500
# **DFT formation energy**: 14 kJ/mol of formula units
# **Magnetic moment**: 1.08 μB/f.u.
# **D(E_F)**: 9.26 states/eV/cell

---

6.
# GGA-PBEsol CoIr2Ru, relaxed
data_CoIr2Ru
_space_group_name_H-M_alt 'I 4/m m m'
_space_group_IT_number 139
_space_group_name_Hall '-I 4 2'
_cell_length_a 3.723
_cell_length_b 3.723
_cell_length_c 7.461
_cell_angle_alpha 90.00
_cell_angle_beta 90.00
_cell_angle_gamma 90.00
loop_
_atom_site_label
_atom_site_type_symbol
_atom_site_fract_x
_atom_site_fract_y
_atom_site_fract_z
Co1 Co 0.000 0.000 0.000
Ir1 Ir 0.000 0.500 0.250
Ru1 Ru 0.000 0.000 0.500
# **DFT formation energy**: 7 kJ/mol of formula units
# **Magnetic moment**: 0.56 μB/f.u.
# **D(E_F)**: 9.86 states/eV/cell

---

7.
# GGA-PBEsol Co2IrRu, relaxed
data_Co2IrRu
_space_group_name_H-M_alt 'C m m 2'
_space_group_IT_number 35
_cell_length_a 2.668
_cell_length_b 4.433
_cell_length_c 8.545
_cell_angle_alpha 90.00
_cell_angle_beta 90.00
_cell_angle_gamma 90.00
loop_
_space_group_symop_operation_xyz
'x,y,z'
'-x,-y,z'
'-x,y,z'
'x,-y,z'
'x+1/2,y+1/2,z'
'-x+1/2,-y+1/2,z'
'-x+1/2,y+1/2,z'
'x+1/2,-y+1/2,z'
loop_
_atom_site_label
_atom_site_type_symbol
_atom_site_fract_x
_atom_site_fract_y
_atom_site_fract_z
Co1 Co 0.000 0.000 0.000
Co2 Co 0.000 0.500 0.227
Ir1 Ir 0.000 0.000 0.481
Ru1 Ru 0.000 0.500 0.752
# **DFT formation energy**: 149 kJ/mol of formula units
# **Magnetic moment**: 4.23 μB/f.u.
# **D(E_F)**: 11.74 states/eV/cell

---

8.
# GGA-PBEsol CoIr2Ru, relaxed
data_CoIr2Ru
_space_group_name_H-M_alt 'C m m m'
_space_group_IT_number 65
_space_group_name_Hall '-C 2 2'
_cell_length_a 5.278
_cell_length_b 7.406
_cell_length_c 2.656
_cell_angle_alpha 90.00
_cell_angle_beta 90.00
_cell_angle_gamma 90.00
loop_
_atom_site_label
_atom_site_type_symbol
_atom_site_fract_x
_atom_site_fract_y
_atom_site_fract_z
Co1 Co 0.000 0.000 0.000
Ir1 Ir 0.250 0.250 0.500
Ru1 Ru 0.000 0.500 0.000
# **DFT formation energy**: 18 kJ/mol of formula units
# **Magnetic moment**: 0.51 μB/f.u.
# **D(E_F)**: 8.95 states/eV/cell

---

9.
# GGA-PBEsol CoSb2Ir, relaxed
data_CoSb2Ir
_space_group_name_H-M_alt 'F m -3 m'
_space_group_IT_number 225
_space_group_name_Hall '-F 4 2 3'
_cell_length_a 6.477
_cell_length_b 6.477
_cell_length_c 6.477
_cell_angle_alpha 90.00
_cell_angle_beta 90.00
_cell_angle_gamma 90.00
loop_
_atom_site_label
_atom_site_type_symbol
_atom_site_fract_x
_atom_site_fract_y
_atom_site_fract_z
Co1 Co 0.000 0.000 0.000
Sb1 Sb 0.250 0.250 0.250
Ir1 Ir 0.000 0.000 0.500
# **Energy relative to the elements, uncorrected**: 0.26 eV/atom
# **Distance to the lowest polymorph of the same formula**: 0.484 eV/atom
# **Magnetic moment**: 1.18 μB/f.u.
# **D(E_F)**: 24.83 states/eV/cell

---

10.
# GGA-PBEsol CoSbIr, relaxed
data_CoSbIr
_space_group_name_H-M_alt 'P 3 m 1'
_space_group_IT_number 156
_cell_length_a 4.1913
_cell_length_b 4.1913
_cell_length_c 2.9482
_cell_angle_alpha 90.00
_cell_angle_beta 90.00
_cell_angle_gamma 120.00
loop_
_space_group_symop_operation_xyz
'x,y,z'
'-y,x-y,z'
'-x+y,-x,z'
'-y,-x,z'
'-x+y,y,z'
'x,x-y,z'
loop_
_atom_site_label
_atom_site_type_symbol
_atom_site_fract_x
_atom_site_fract_y
_atom_site_fract_z
Co1 Co 0.0000 0.0000 0.0000
Sb1 Sb 0.3333 0.6667 0.8969
Ir1 Ir 0.6667 0.3333 0.4793
# **Energy relative to the elements, uncorrected**: 0.28 eV/atom
# **Magnetic moment**: 0.73 μB/f.u.
# **D(E_F)**: 3.57 states/eV/cell

---

11.
# GGA-PBEsol CoSbIr2, relaxed
data_CoSbIr2
_space_group_name_H-M_alt 'R 3 m'
_space_group_IT_number 160
_space_group_name_Hall 'R 3 -2"'
_cell_length_a 2.8829
_cell_length_b 2.8829
_cell_length_c 24.8565
_cell_angle_alpha 90.00
_cell_angle_beta 90.00
_cell_angle_gamma 120.00
loop_
_atom_site_label
_atom_site_type_symbol
_atom_site_fract_x
_atom_site_fract_y
_atom_site_fract_z
Co1 Co 0.0000 0.0000 0.0000
Sb1 Sb 0.0000 0.0000 0.7460
Ir1 Ir 0.0000 0.0000 0.2547
Ir2 Ir 0.0000 0.0000 0.5012
# **Energy relative to the elements, uncorrected**: 0.43 eV/atom
# **Magnetic moment**: 1.15 μB/f.u.
# **D(E_F)**: 12.99 states/eV/cell

---

12.
# GGA-PBEsol CoSb2Ir, relaxed
data_CoSb2Ir
_space_group_name_H-M_alt 'I -4 2 d'
_space_group_IT_number 122
_space_group_name_Hall 'I -4 2bw'
_cell_length_a 5.581
_cell_length_b 5.581
_cell_length_c 11.926
_cell_angle_alpha 90.00
_cell_angle_beta 90.00
_cell_angle_gamma 90.00
loop_
_atom_site_label
_atom_site_type_symbol
_atom_site_fract_x
_atom_site_fract_y
_atom_site_fract_z
Co1 Co 0.000 0.000 0.000
Sb1 Sb 0.230 0.250 0.125
Ir1 Ir 0.000 0.000 0.500
# **Energy relative to the elements, uncorrected**: 0.39 eV/atom
# **Distance to the lowest polymorph of the same formula**: 0.610 eV/atom
# **Magnetic moment**: 0.00 μB/f.u.
# **D(E_F)**: 11.28 states/eV/cell

---

13.
# GGA-PBEsol CoSb2Ir, relaxed
data_CoSb2Ir
_space_group_name_H-M_alt 'F -4 3 m'
_space_group_IT_number 216
_space_group_name_Hall 'F -4 2 3'
_cell_length_a 6.579
_cell_length_b 6.579
_cell_length_c 6.579
_cell_angle_alpha 90.00
_cell_angle_beta 90.00
_cell_angle_gamma 90.00
loop_
_atom_site_label
_atom_site_type_symbol
_atom_site_fract_x
_atom_site_fract_y
_atom_site_fract_z
Co1 Co 0.000 0.000 0.000
Sb1 Sb 0.000 0.000 0.500
Sb2 Sb 0.250 0.250 0.250
Ir1 Ir 0.250 0.250 0.750
# **Energy relative to the elements, uncorrected**: 0.69 eV/atom
# **Distance to the lowest polymorph of the same formula**: 0.910 eV/atom
# **Magnetic moment**: 1.88 μB/f.u.
# **D(E_F)**: 22.23 states/eV/cell

---

14.
# GGA-PBEsol CoSbIr2, relaxed
data_CoSbIr2
_space_group_name_H-M_alt 'P m m m'
_space_group_IT_number 47
_cell_length_a 2.913
_cell_length_b 3.605
_cell_length_c 5.630
_cell_angle_alpha 90.00
_cell_angle_beta 90.00
_cell_angle_gamma 90.00
loop_
_space_group_symop_operation_xyz
'x,y,z'
'-x,-y,-z'
'-x,-y,z'
'x,y,-z'
'x,-y,-z'
'-x,y,z'
'-x,y,-z'
'x,-y,z'
loop_
_atom_site_label
_atom_site_type_symbol
_atom_site_fract_x
_atom_site_fract_y
_atom_site_fract_z
Co1 Co 0.000 0.000 0.000
Sb1 Sb 0.000 0.000 0.500
Ir1 Ir 0.500 0.500 0.231
# **Energy relative to the elements, uncorrected**: 0.23 eV/atom
# **Magnetic moment**: 2.00 μB/f.u.
# **D(E_F)**: 4.02 states/eV/cell

---

15.
# GGA-PBEsol CoSb2Ir, relaxed
data_CoSb2Ir
_space_group_name_H-M_alt 'P -3 m 1'
_space_group_IT_number 164
_space_group_name_Hall '-P 3 2"'
_cell_length_a 3.9336
_cell_length_b 3.9336
_cell_length_c 5.2926
_cell_angle_alpha 90.00
_cell_angle_beta 90.00
_cell_angle_gamma 120.00
loop_
_atom_site_label
_atom_site_type_symbol
_atom_site_fract_x
_atom_site_fract_y
_atom_site_fract_z
Co1 Co 0.0000 0.0000 0.0000
Sb1 Sb 0.3333 0.6667 0.7667
Ir1 Ir 0.0000 0.0000 0.5000
# **Energy relative to the elements, uncorrected**: -0.22 eV/atom
# **Distance to the lowest polymorph of the same formula**: 0.000 eV/atom
# **Magnetic moment**: 0.00 μB/f.u.
# **D(E_F)**: 2.14 states/eV/cell

---

16.
# GGA-PBEsol Sc2CoIr2, relaxed
data_Sc2CoIr2
_space_group_name_H-M_alt 'I 4/m m m'
_space_group_IT_number 139
_space_group_name_Hall '-I 4 2'
_cell_length_a 4.114
_cell_length_b 4.114
_cell_length_c 11.168
_cell_angle_alpha 90.00
_cell_angle_beta 90.00
_cell_angle_gamma 90.00
loop_
_atom_site_label
_atom_site_type_symbol
_atom_site_fract_x
_atom_site_fract_y
_atom_site_fract_z
Sc1 Sc 0.000 0.500 0.250
Co1 Co 0.000 0.000 0.000
Ir1 Ir 0.000 0.000 0.391
# **DFT formation energy**: 139 kJ/mol of formula units
# **Magnetic moment**: 2.39 μB/f.u.
# **D(E_F)**: 14.17 states/eV/cell

---

17.
# GGA-PBEsol ScCoIr, relaxed
data_ScCoIr
_space_group_name_H-M_alt 'I 4 m m'
_space_group_IT_number 107
_space_group_name_Hall 'I 4 -2'
_cell_length_a 2.818
_cell_length_b 2.818
_cell_length_c 10.997
_cell_angle_alpha 90.00
_cell_angle_beta 90.00
_cell_angle_gamma 90.00
loop_
_atom_site_label
_atom_site_type_symbol
_atom_site_fract_x
_atom_site_fract_y
_atom_site_fract_z
Sc1 Sc 0.000 0.000 0.000
Co1 Co 0.000 0.000 0.677
Ir1 Ir 0.000 0.000 0.317
# **Distance to the lowest polymorph of the same formula**: 0.025 eV/atom
# **DFT formation energy**: -68 kJ/mol of formula units
# **Magnetic moment**: 1.36 μB/f.u.
# **D(E_F)**: 5.76 states/eV/cell

---

18.
# GGA-PBEsol ScCoIr2, relaxed
data_ScCoIr2
_space_group_name_H-M_alt 'C 1 m 1'
_space_group_IT_number 8
_cell_length_a 8.998
_cell_length_b 2.775
_cell_length_c 4.624
_cell_angle_alpha 90.00
_cell_angle_beta 101.05
_cell_angle_gamma 90.00
loop_
_space_group_symop_operation_xyz
'x,y,z'
'x,-y,z'
'x+1/2,y+1/2,z'
'x+1/2,-y+1/2,z'
loop_
_atom_site_label
_atom_site_type_symbol
_atom_site_fract_x
_atom_site_fract_y
_atom_site_fract_z
Sc1 Sc 0.000 0.000 0.000
Co1 Co 0.256 0.500 0.252
Ir1 Ir 0.242 0.000 0.702
Ir2 Ir 0.496 0.000 0.492
# **DFT formation energy**: -114 kJ/mol of formula units
# **Magnetic moment**: 0.06 μB/f.u.
# **D(E_F)**: 6.55 states/eV/cell

---

19.
# GGA-PBEsol Sc2CoIr, relaxed
data_Sc2CoIr
_space_group_name_H-M_alt 'P 4/m m m'
_space_group_IT_number 123
_space_group_name_Hall '-P 4 2'
_cell_length_a 3.136
_cell_length_b 3.136
_cell_length_c 6.279
_cell_angle_alpha 90.00
_cell_angle_beta 90.00
_cell_angle_gamma 90.00
loop_
_atom_site_label
_atom_site_type_symbol
_atom_site_fract_x
_atom_site_fract_y
_atom_site_fract_z
Sc1 Sc 0.000 0.000 0.242
Co1 Co 0.500 0.500 0.000
Ir1 Ir 0.500 0.500 0.500
# **Distance to the lowest polymorph of the same formula**: 0.019 eV/atom
# **DFT formation energy**: -266 kJ/mol of formula units
# **Magnetic moment**: 0.11 μB/f.u.
# **D(E_F)**: 1.30 states/eV/cell

---

20.
# GGA-PBEsol ScCoIr4, relaxed
data_ScCoIr4
_space_group_name_H-M_alt 'F -4 3 m'
_space_group_IT_number 216
_space_group_name_Hall 'F -4 2 3'
_cell_length_a 7.225
_cell_length_b 7.225
_cell_length_c 7.225
_cell_angle_alpha 90.00
_cell_angle_beta 90.00
_cell_angle_gamma 90.00
loop_
_atom_site_label
_atom_site_type_symbol
_atom_site_fract_x
_atom_site_fract_y
_atom_site_fract_z
Sc1 Sc 0.000 0.000 0.000
Co1 Co 0.250 0.250 0.250
Ir1 Ir 0.125 0.125 0.625
# **DFT formation energy**: -4 kJ/mol of formula units
# **Magnetic moment**: 2.99 μB/f.u.
# **D(E_F)**: 37.05 states/eV/cell